Record 1
The following is a DFT calculation (GGA-PBE) of a geometry-optimized Ag2SbIr2 structure.

a b c (Å): 7.2488 7.2488 7.2488
angles (deg): 150.11 150.11 42.78
Positions (direct):
1 Ag 0.2500 0.7500 0.5000
2 Ag 0.7500 0.2500 0.5000
3 Sb 0.0000 0.0000 0.0000
4 Ir 0.4053 0.4053 0.0000
5 Ir 0.5947 0.5947 0.0000

Properties
Magnetization ... 0.00 μB per cell
Energy relative to the elements, uncorrected ... 609.9 meV per atom
Energy above the lowest structure with this stoichiometry ... 1.67 eV per formula unit
Total energy ... -4.899 eV per atom
Calculated volume ... 18.9 A^3/atom



Record 2
The following is a DFT calculation (GGA-PBE) of a geometry-optimized AgSb2Ir structure.

a b c (Å): 3.3628 4.8787 4.9881
angles (deg): 81.83 89.83 89.96
Positions (direct):
1 Ag 0.0000 0.0000 0.0000
2 Sb 0.5000 0.0000 0.5000
3 Sb 0.5000 0.5000 0.0000
4 Ir 0.0000 0.5000 0.5000

Properties
Magnetization ... 0.00 μB per cell
Energy relative to the elements, uncorrected ... 289.5 meV per atom
Energy above the lowest structure with this stoichiometry ... 0.93 eV per formula unit
Total energy ... -4.700 eV per atom
Calculated volume ... 20.3 A^3/atom



Record 3
The following is a DFT calculation (GGA-PBE) of a geometry-optimized AgSbIr2 structure.

a b c (Å): 2.9926 4.5713 5.0936
angles (deg): 90.00 90.00 90.00
Positions (direct):
1 Ag 0.0000 0.0000 0.0000
2 Sb 0.5000 0.5000 0.2109
3 Ir 0.0000 0.5000 0.6552
4 Ir 0.5000 0.0000 0.5292

Properties
Magnetization ... 0.00 μB per cell
Energy relative to the elements, uncorrected ... 356.4 meV per atom
Total energy ... -5.817 eV per atom
Calculated volume ... 17.4 A^3/atom



Record 4
The following is a DFT calculation (GGA-PBE) of a geometry-optimized AgSbIr4 structure.

a b c (Å): 5.2948 5.2948 5.2948
angles (deg): 60.00 60.00 60.00
Positions (direct):
1 Ag 0.0000 0.0000 0.0000
2 Sb 0.7500 0.7500 0.7500
3 Ir 0.3749 0.3749 0.3749
4 Ir 0.3749 0.3749 0.8752
5 Ir 0.3749 0.8752 0.3749
6 Ir 0.8752 0.3749 0.3749

Properties
Magnetization ... 0.00 μB per cell
Energy relative to the elements, uncorrected ... 444.0 meV per atom
Total energy ... -6.626 eV per atom
Calculated volume ... 17.5 A^3/atom



Record 5
The following is a DFT calculation (GGA-PBE) of a geometry-optimized AgSb2Ir structure.

a b c (Å): 4.7003 4.7003 3.6727
angles (deg): 90.00 90.00 90.00
Positions (direct):
1 Ag 0.0000 0.0000 0.0000
2 Sb 0.0000 0.5000 0.5000
3 Sb 0.5000 0.0000 0.5000
4 Ir 0.5000 0.5000 0.0000

Properties
Magnetization ... 0.00 μB per cell
Energy relative to the elements, uncorrected ... 285.2 meV per atom
Energy above the lowest structure with this stoichiometry ... 0.92 eV per formula unit
Total energy ... -4.704 eV per atom
Calculated volume ... 20.3 A^3/atom



Record 6
The following is a DFT calculation (GGA-PBE) of a geometry-optimized AgSbIr2 structure.

a b c (Å): 2.9841 4.3543 5.5080
angles (deg): 90.00 104.75 90.00
Positions (direct):
1 Ag 0.0000 0.0000 0.0000
2 Sb 0.5000 0.0000 0.5000
3 Ir 0.3656 0.5000 0.7441
4 Ir 0.6344 0.5000 0.2559

Properties
Magnetization ... 0.00 μB per cell
Energy relative to the elements, uncorrected ... 345.9 meV per atom
Total energy ... -5.828 eV per atom
Calculated volume ... 17.3 A^3/atom



Record 7
The following is a DFT calculation (GGA-PBE) of a geometry-optimized AgSb2Ir structure.

a b c (Å): 3.2528 3.2382 7.9257
angles (deg): 90.00 91.23 90.00
Positions (direct):
1 Ag 0.0000 0.0000 0.0000
2 Sb 0.4887 0.5000 0.2832
3 Sb 0.5113 0.5000 0.7168
4 Ir 0.0000 0.0000 0.5000

Properties
Magnetization ... 0.00 μB per cell
Energy relative to the elements, uncorrected ... 131.9 meV per atom
Energy above the lowest structure with this stoichiometry ... 0.30 eV per formula unit
Total energy ... -4.857 eV per atom
Calculated volume ... 20.9 A^3/atom



Record 8
The following is a DFT calculation (GGA-PBE) of a geometry-optimized AgSb2Ir structure.

a b c (Å): 4.8130 4.8130 6.3074
angles (deg): 109.64 109.64 43.61
Positions (direct):
1 Ag 0.0000 0.0000 0.0000
2 Sb 0.2376 0.2376 0.8448
3 Sb 0.5064 0.5064 0.3838
4 Ir 0.7649 0.7649 0.1962

Properties
Magnetization ... 0.00 μB per cell
Energy relative to the elements, uncorrected ... 177.8 meV per atom
Energy above the lowest structure with this stoichiometry ... 0.49 eV per formula unit
Total energy ... -4.811 eV per atom
Calculated volume ... 23.5 A^3/atom